DFT (PBE) results for an optimized crystal structure of Tl2BiIr2.

Values from the calculation:
* formation enthalpy at 0 K: 0.416 eV/atom
* total DFT energy (no corrections): -4.851 eV per atom
* ρ: 15.914 g cm⁻³
* symmetry: No. 127
* D(E_F): 0.505 states/eV per atom

Unit cell a=8.082 b=8.082 c=3.202 alpha=90.00 beta=90.00 gamma=90.00
Positions (direct):
Tl: 0.349 0.151 0.500
Tl: 0.849 0.349 0.500
Tl: 0.651 0.849 0.500
Tl: 0.151 0.651 0.500
Ir: 0.853 0.647 0.000
Ir: 0.147 0.353 0.000
Ir: 0.647 0.147 0.000
Ir: 0.353 0.853 0.000
Bi: 0.500 0.500 0.000
Bi: 0.000 0.000 0.000

=====

DFT (PBE) results for an optimized crystal structure of KTa2Ru.

Values from the calculation:
* polymorph energy (0 for the lowest one): 428 meV/atom
* formation enthalpy at 0 K: 0.915 eV/atom
* total DFT energy (no corrections): -7.604 eV per atom
* ρ: 9.867 g cm⁻³
* symmetry: No. 71
* D(E_F): 1.142 states/eV per atom

Unit cell a=6.074 b=6.074 c=6.074 alpha=151.54 beta=127.12 gamma=61.14
Positions (direct):
K: 0.250 0.750 0.500
Ru: 0.750 0.250 0.500
Ta: 0.549 0.549 0.000
Ta: 0.951 0.951 0.000

=====

DFT (PBE) results for an optimized crystal structure of ZnReBr2.

Values from the calculation:
* polymorph energy (0 for the lowest one): 942 meV/atom
* total DFT energy (no corrections): -3.137 eV per atom
* ρ: 9.234 g cm⁻³
* symmetry: No. 65
* D(E_F): 0.860 states/eV per atom
* formation energy without anion corrections: 1.13 eV per atom

Unit cell a=4.882 b=4.882 c=3.182 alpha=90.00 beta=90.00 gamma=102.76
Positions (direct):
Zn: 0.000 0.500 0.500
Re: 0.500 0.000 0.500
Br: 0.500 0.500 0.000
Br: 0.000 0.000 0.000

=====

DFT (PBE) results for an optimized crystal structure of SnPb.

Values from the calculation:
* formation enthalpy at 0 K: 0.289 eV/atom
* total DFT energy (no corrections): -3.567 eV per atom
* ρ: 5.436 g cm⁻³
* symmetry: No. 176
* D(E_F): 0.108 states/eV per atom

Unit cell a=11.847 b=11.847 c=4.915 alpha=90.00 beta=90.00 gamma=120.00
Positions (direct):
Sn: 0.082 0.416 0.750
Sn: 0.667 0.082 0.250
Sn: 0.416 0.333 0.250
Sn: 0.584 0.667 0.750
Sn: 0.918 0.584 0.250
Sn: 0.333 0.918 0.750
Pb: 0.586 0.917 0.750
Pb: 0.083 0.668 0.750
Pb: 0.917 0.332 0.250
Pb: 0.332 0.414 0.750
Pb: 0.668 0.586 0.250
Pb: 0.414 0.083 0.250

=====

DFT (PBE) results for an optimized crystal structure of LaPb2Br.

Values from the calculation:
* polymorph energy (0 for the lowest one): 446 meV/atom
* total DFT energy (no corrections): -3.853 eV per atom
* ρ: 6.596 g cm⁻³
* symmetry: No. 122
* D(E_F): 0.631 states/eV per atom
* formation energy without anion corrections: -0.35 eV per atom

Unit cell a=10.574 b=10.574 c=8.002 alpha=48.65 beta=48.65 gamma=90.00
Positions (direct):
La: 0.750 0.250 0.500
La: 0.000 0.000 0.000
Br: 0.500 0.500 0.000
Br: 0.250 0.750 0.500
Pb: 0.375 0.311 0.750
Pb: 0.689 0.125 0.250
Pb: 0.061 0.625 0.250
Pb: 0.875 0.939 0.750

=====

DFT (PBE) results for an optimized crystal structure of CeTcGe3.

Values from the calculation:
* polymorph energy (0 for the lowest one): 0 meV/atom
* formation enthalpy at 0 K: -0.463 eV/atom
* total DFT energy (no corrections): -6.493 eV per atom
* ρ: 7.757 g cm⁻³
* symmetry: No. 62
* D(E_F): 0.978 states/eV per atom

Unit cell a=4.337 b=8.477 c=10.622 alpha=90.00 beta=90.00 gamma=90.00
Positions (direct):
Ge: 0.250 0.878 0.831
Ge: 0.250 0.378 0.669
Ge: 0.250 0.851 0.227
Ge: 0.750 0.438 0.916
Ge: 0.250 0.062 0.416
Ge: 0.750 0.149 0.773
Ge: 0.750 0.622 0.331
Ge: 0.750 0.122 0.169
Ge: 0.750 0.649 0.727
Ge: 0.250 0.351 0.273
Ge: 0.750 0.938 0.584
Ge: 0.250 0.562 0.084
Ce: 0.250 0.208 0.963
Ce: 0.750 0.292 0.463
Ce: 0.250 0.708 0.537
Ce: 0.750 0.792 0.037
Tc: 0.750 0.417 0.158
Tc: 0.750 0.917 0.342
Tc: 0.250 0.083 0.658
Tc: 0.250 0.583 0.842

=====

DFT (PBE) results for an optimized crystal structure of SrIn3Ag8.

Values from the calculation:
* polymorph energy (0 for the lowest one): 0 meV/atom
* formation enthalpy at 0 K: -0.080 eV/atom
* total DFT energy (no corrections): -2.806 eV per atom
* ρ: 8.321 g cm⁻³
* symmetry: No. 160
* D(E_F): 0.572 states/eV per atom

Unit cell a=5.629 b=5.629 c=9.964 alpha=73.59 beta=73.59 gamma=60.00
Positions (direct):
Ag: 0.439 0.941 0.182
Ag: 0.938 0.435 0.690
Ag: 0.439 0.439 0.182
Ag: 0.435 0.938 0.690
Ag: 0.941 0.439 0.182
Ag: 0.688 0.688 0.936
Ag: 0.188 0.188 0.437
Ag: 0.938 0.938 0.690
Sr: 0.875 0.875 0.376
In: 0.494 0.494 0.519
In: 0.376 0.376 0.872
In: 0.002 0.002 0.995

=====

DFT (PBE) results for an optimized crystal structure of Sm2Ga4AgIr3.

Values from the calculation:
* formation enthalpy at 0 K: -0.594 eV/atom
* total DFT energy (no corrections): -5.692 eV per atom
* ρ: 11.023 g cm⁻³
* symmetry: No. 115
* D(E_F): 0.682 states/eV per atom

Unit cell a=4.189 b=4.189 c=10.855 alpha=90.00 beta=90.00 gamma=90.00
Positions (direct):
Ir: 0.500 0.000 0.866
Ir: 0.000 0.500 0.134
Ir: 0.000 0.000 0.500
Sm: 0.000 0.500 0.759
Sm: 0.500 0.000 0.241
Ga: 0.500 0.500 0.000
Ga: 0.000 0.000 0.000
Ga: 0.500 0.000 0.637
Ga: 0.000 0.500 0.363
Ag: 0.500 0.500 0.500

=====

DFT (PBE) results for an optimized crystal structure of CuMo2Rh.

Values from the calculation:
* formation enthalpy at 0 K: 0.015 eV/atom
* total DFT energy (no corrections): -8.262 eV per atom
* ρ: 10.312 g cm⁻³
* symmetry: No. 10
* D(E_F): 0.634 states/eV per atom

Unit cell a=4.002 b=2.706 c=5.993 alpha=62.75 beta=90.00 gamma=90.00
Positions (direct):
Rh: 0.500 0.250 0.250
Mo: 0.000 0.494 0.504
Mo: 0.000 0.006 0.996
Cu: 0.500 0.750 0.750

=====

DFT (PBE) results for an optimized crystal structure of KBaSc2.

Values from the calculation:
* polymorph energy (0 for the lowest one): 320 meV/atom
* formation enthalpy at 0 K: 0.662 eV/atom
* total DFT energy (no corrections): -3.259 eV per atom
* ρ: 2.928 g cm⁻³
* symmetry: No. 65
* D(E_F): 2.045 states/eV per atom

Unit cell a=6.954 b=6.954 c=3.561 alpha=90.00 beta=90.00 gamma=118.70
Site moments in Bohr magnetons follow the coordinates.
Positions (direct):
Sc: 0.000 0.000 0.000  0.43
Sc: 0.500 0.500 0.000  0.43
Ba: 0.500 0.000 0.500  0.06
K: 0.000 0.500 0.500  0.01

=====

DFT (PBE) results for an optimized crystal structure of KTlAg2.

Values from the calculation:
* polymorph energy (0 for the lowest one): 4 meV/atom
* formation enthalpy at 0 K: 0.013 eV/atom
* total DFT energy (no corrections): -2.279 eV per atom
* ρ: 5.980 g cm⁻³
* symmetry: No. 11
* D(E_F): 0.426 states/eV per atom

Unit cell a=4.966 b=6.768 c=8.166 alpha=90.00 beta=90.00 gamma=111.67
Positions (direct):
Tl: 0.153 0.306 0.750
Tl: 0.847 0.694 0.250
K: 0.558 0.113 0.250
K: 0.442 0.887 0.750
Ag: 0.259 0.518 0.080
Ag: 0.259 0.518 0.420
Ag: 0.741 0.482 0.580
Ag: 0.741 0.482 0.920

=====

DFT (PBE) results for an optimized crystal structure of UGe3Rh5.

Values from the calculation:
* formation enthalpy at 0 K: -0.395 eV/atom
* total DFT energy (no corrections): -7.273 eV per atom
* ρ: 11.045 g cm⁻³
* symmetry: No. 63
* D(E_F): 0.945 states/eV per atom

Unit cell a=2.964 b=6.749 c=14.956 alpha=90.00 beta=90.00 gamma=102.68
Site moments in Bohr magnetons follow the coordinates.
Positions (direct):
Rh: 0.489 0.977 0.657  -0.09
Rh: 0.000 0.000 0.500  -0.01
Rh: 0.181 0.362 0.601  -0.04
Rh: 0.511 0.023 0.343  -0.09
Rh: 0.819 0.638 0.101  -0.04
Rh: 0.000 0.000 0.000  -0.01
Rh: 0.511 0.023 0.157  -0.09
Rh: 0.181 0.362 0.899  -0.04
Rh: 0.819 0.638 0.399  -0.04
Rh: 0.489 0.977 0.843  -0.09
Ge: 0.650 0.299 0.462  -0.01
Ge: 0.106 0.212 0.750  0.00
Ge: 0.350 0.701 0.962  -0.01
Ge: 0.894 0.788 0.250  0.00
Ge: 0.350 0.701 0.538  -0.01
Ge: 0.650 0.299 0.038  -0.01
U: 0.172 0.344 0.250  2.09
U: 0.828 0.656 0.750  2.09